Record 1
A plane-wave DFT calculation with PBE-GGA was carried out for a relaxed LaHoBi2Te2 crystal.

VASP energy   -5.060 eV per atom
Mass density   8.64 g cm⁻³
Space-group type   P4mm (99)

Cell and atoms, written as POSCAR:
```
LaHoBi2Te2
1.0
4.448 0.000 0.000
0.000 4.448 0.000
0.000 0.000 9.495
La Ho Bi Te
1 1 2 2
Direct
0.000 0.000 0.000
0.500 0.500 0.429
0.000 0.500 0.709
0.500 0.000 0.709
0.000 0.000 0.348
0.500 0.500 0.095
```

***

Record 2
A plane-wave DFT calculation with PBE-GGA was carried out for a relaxed ErBiO3 crystal.

VASP energy   -6.697 eV per atom
Mass density   9.41 g cm⁻³
Space-group type   Cmcm (63)

Cell and atoms, written as POSCAR:
```
ErBiO3
1.0
3.248 -2.738 0.000
3.248 2.738 0.000
0.000 0.000 8.414
Er Bi O
2 2 6
Direct
0.054 0.946 0.750
0.946 0.054 0.250
0.500 0.500 0.000
0.500 0.500 0.500
0.000 0.000 0.000
0.000 0.000 0.500
0.206 0.414 0.750
0.414 0.206 0.250
0.586 0.794 0.750
0.794 0.586 0.250
```